Entry from Alexandria via LeMat-Bulk: an optimized crystal structure of Dy8Cu2Bi (PBE).

Computed properties:
For the density of states at the Fermi level, the calculation gives 16.24 states/eV/cell. As for the calculated formation energy: -1.42 eV per formula unit.

a = 8.009 Å, b = 8.009 Å, c = 5.452 Å
α = 98.13°, β = 98.13°, γ = 113.98°
Fractional positions:
Dy: 0.081 0.333 0.594
Dy: 0.246 0.754 0.000
Dy: 0.333 0.081 0.594
Dy: 0.399 0.399 0.201
Dy: 0.601 0.601 0.799
Dy: 0.667 0.919 0.406
Dy: 0.754 0.246 0.000
Dy: 0.919 0.667 0.406
Cu: 0.305 0.695 0.500
Cu: 0.695 0.305 0.500
Bi: 0.000 0.000 0.000

Entry from Alexandria via LeMat-Bulk: an optimized crystal structure of DyCu4Bi (PBE).

Computed properties:
For the density of states at the Fermi level, the calculation gives 2.31 states/eV/cell. As for the calculated formation energy: -0.72 eV per formula unit.

a = 5.268 Å, b = 5.268 Å, c = 5.268 Å
α = 60.00°, β = 60.00°, γ = 60.00°
Fractional positions:
Dy: 0.000 0.000 0.000
Cu: 0.123 0.626 0.626
Cu: 0.626 0.123 0.626
Cu: 0.626 0.626 0.123
Cu: 0.626 0.626 0.626
Bi: 0.250 0.250 0.250

Entry from Alexandria via LeMat-Bulk: an optimized crystal structure of Dy12Cu6Bi (PBE).

Computed properties:
For the density of states at the Fermi level, the calculation gives 16.83 states/eV/cell. As for the calculated formation energy: -4.24 eV per formula unit.

a = 8.582 Å, b = 8.582 Å, c = 8.582 Å
α = 109.47°, β = 109.47°, γ = 109.47°
Fractional positions:
Dy: 0.114 0.303 0.811
Dy: 0.189 0.492 0.303
Dy: 0.189 0.886 0.697
Dy: 0.303 0.189 0.492
Dy: 0.303 0.811 0.114
Dy: 0.492 0.303 0.189
Dy: 0.508 0.697 0.811
Dy: 0.697 0.189 0.886
Dy: 0.697 0.811 0.508
Dy: 0.811 0.114 0.303
Dy: 0.811 0.508 0.697
Dy: 0.886 0.697 0.189
Cu: 0.123 0.500 0.623
Cu: 0.377 0.877 0.500
Cu: 0.500 0.377 0.877
Cu: 0.500 0.623 0.123
Cu: 0.623 0.123 0.500
Cu: 0.877 0.500 0.377
Bi: 0.000 0.000 0.000

Entry from Alexandria via LeMat-Bulk: an optimized crystal structure of Sr2DyCu2Bi2O8 (PBE).

Computed properties:
As for the formation energy from raw total energies: -1.79 eV per atom. For the density of states at the Fermi level, the calculation gives 2.80 states/eV/cell. The energy above the most stable polymorph in this dataset is 0.80 kcal/mol of atoms.

a = 15.597 Å, b = 15.597 Å, c = 15.597 Å
α = 166.04°, β = 166.04°, γ = 19.79°
Fractional positions:
Sr: 0.114 0.114 0.000
Sr: 0.886 0.886 0.000
Dy: 0.000 0.000 0.000
Cu: 0.448 0.448 0.000
Cu: 0.552 0.552 0.000
Bi: 0.297 0.297 0.000
Bi: 0.703 0.703 0.000
O: 0.048 0.548 0.500
O: 0.201 0.201 0.000
O: 0.366 0.366 0.000
O: 0.452 0.952 0.500
O: 0.548 0.048 0.500
O: 0.634 0.634 0.000
O: 0.799 0.799 0.000
O: 0.952 0.452 0.500

Entry from Alexandria via LeMat-Bulk: an optimized crystal structure of Sr2DyCu2Bi2O8 (PBE).

Computed properties:
As for the formation energy from raw total energies: -1.82 eV per atom. For the density of states at the Fermi level, the calculation gives 6.14 states/eV/cell. The energy above the most stable polymorph in this dataset is 0.00 kcal/mol of atoms.

a = 15.544 Å, b = 15.544 Å, c = 5.347 Å
α = 90.00°, β = 90.00°, γ = 159.58°
Fractional positions:
Sr: 0.109 0.384 0.000
Sr: 0.384 0.109 0.500
Sr: 0.616 0.891 0.500
Sr: 0.891 0.616 0.000
Dy: 0.000 0.500 0.000
Dy: 0.500 0.000 0.500
Cu: 0.050 0.450 0.500
Cu: 0.450 0.050 0.000
Cu: 0.550 0.950 0.000
Cu: 0.950 0.550 0.500
Bi: 0.219 0.314 0.500
Bi: 0.314 0.219 0.000
Bi: 0.686 0.781 0.000
Bi: 0.781 0.686 0.500
O: 0.108 0.340 0.500
O: 0.203 0.797 0.250
O: 0.203 0.797 0.750
O: 0.290 0.392 0.000
O: 0.299 0.701 0.250
O: 0.299 0.701 0.750
O: 0.340 0.108 0.000
O: 0.392 0.290 0.500
O: 0.608 0.710 0.500
O: 0.660 0.892 0.000
O: 0.701 0.299 0.250
O: 0.701 0.299 0.750
O: 0.710 0.608 0.000
O: 0.797 0.203 0.250
O: 0.797 0.203 0.750
O: 0.892 0.660 0.500

Entry from Alexandria via LeMat-Bulk: an optimized crystal structure of DyCuBiPd (PBE).

Computed properties:
For the density of states at the Fermi level, the calculation gives 2.17 states/eV/cell. As for the calculated formation energy: -1.88 eV per formula unit.

a = 4.878 Å, b = 4.878 Å, c = 4.878 Å
α = 60.00°, β = 60.00°, γ = 60.00°
Fractional positions:
Dy: 0.000 0.000 0.000
Cu: 0.250 0.250 0.250
Bi: 0.500 0.500 0.500
Pd: 0.750 0.750 0.750

Entry from Alexandria via LeMat-Bulk: an optimized crystal structure of DyCuBi2S5 (PBE).

Computed properties:
As for the formation energy from raw total energies: -0.78 eV per atom.

a = 9.543 Å, b = 9.543 Å, c = 12.164 Å
α = 90.00°, β = 90.00°, γ = 156.10°
Fractional positions:
Dy: 0.201 0.799 0.500
Dy: 0.799 0.201 0.000
Cu: 0.429 0.571 0.951
Cu: 0.571 0.429 0.451
Bi: 0.088 0.912 0.759
Bi: 0.150 0.850 0.170
Bi: 0.850 0.150 0.670
Bi: 0.912 0.088 0.259
S: 0.056 0.944 0.549
S: 0.291 0.709 0.160
S: 0.318 0.682 0.853
S: 0.349 0.651 0.517
S: 0.494 0.506 0.789
S: 0.506 0.494 0.289
S: 0.651 0.349 0.017
S: 0.682 0.318 0.353
S: 0.709 0.291 0.660
S: 0.944 0.056 0.049

Entry from Alexandria via LeMat-Bulk: an optimized crystal structure of DyCuBi2Se5 (PBE).

Computed properties:
As for the formation energy from raw total energies: -0.72 eV per atom.

a = 9.978 Å, b = 9.978 Å, c = 12.927 Å
α = 90.00°, β = 90.00°, γ = 156.24°
Fractional positions:
Dy: 0.196 0.804 0.500
Dy: 0.804 0.196 0.000
Cu: 0.424 0.576 0.943
Cu: 0.576 0.424 0.443
Bi: 0.082 0.918 0.745
Bi: 0.157 0.843 0.168
Bi: 0.843 0.157 0.668
Bi: 0.918 0.082 0.245
Se: 0.049 0.951 0.538
Se: 0.298 0.702 0.160
Se: 0.312 0.688 0.851
Se: 0.345 0.655 0.518
Se: 0.486 0.514 0.778
Se: 0.514 0.486 0.278
Se: 0.655 0.345 0.018
Se: 0.688 0.312 0.351
Se: 0.702 0.298 0.660
Se: 0.951 0.049 0.038

| no. | total magnetic moment (μB per atom) |
| --- | --- |
| 1 | 0.097 |
| 2 | 0.000 |
| 3 | 0.000 |
| 4 | 0.000 |
| 5 | 0.000 |
| 6 | 0.000 |
| 7 | 0.000 |
| 8 | 0.000 |